DFT (GGA-PBE) results for a relaxed YTi3Si crystal.

Structure (CIF):
```
data_YTi3Si
_symmetry_space_group_name_H-M 'P 1'
_symmetry_Int_Tables_number 1
_cell_length_a 4.765
_cell_length_b 4.765
_cell_length_c 4.765
_cell_angle_alpha 90.00
_cell_angle_beta 90.00
_cell_angle_gamma 90.00
loop_
_symmetry_equiv_pos_as_xyz
'x,y,z'
loop_
_atom_site_label
_atom_site_fract_x
_atom_site_fract_y
_atom_site_fract_z
Y1 0.000 0.000 0.000
Ti1 0.000 0.500 0.500
Ti2 0.500 0.000 0.500
Ti3 0.500 0.500 0.000
Si1 0.500 0.500 0.500
```

Calculated values
Raw formation energy: 0.76 eV per formula unit
Spin magnetization: 0.00 μB/cell
Distance to the lowest polymorph of the same formula: 0.0 kJ per mole of atoms
V: 21.6 A^3/atom

DFT (GGA-PBE) results for a relaxed Y3TiSi crystal.

Structure (CIF):
```
data_Y3TiSi
_symmetry_space_group_name_H-M 'P 1'
_symmetry_Int_Tables_number 1
_cell_length_a 5.208
_cell_length_b 5.208
_cell_length_c 5.208
_cell_angle_alpha 90.00
_cell_angle_beta 90.00
_cell_angle_gamma 90.00
loop_
_symmetry_equiv_pos_as_xyz
'x,y,z'
loop_
_atom_site_label
_atom_site_fract_x
_atom_site_fract_y
_atom_site_fract_z
Y1 0.000 0.000 0.500
Y2 0.000 0.500 0.000
Y3 0.500 0.000 0.000
Ti1 0.000 0.000 0.000
Si1 0.500 0.500 0.500
```

Calculated values
Raw formation energy: 3.38 eV per formula unit
Spin magnetization: 0.00 μB/cell
Distance to the lowest polymorph of the same formula: 40.7 kJ per mole of atoms
V: 28.2 A^3/atom

DFT (GGA-PBE) results for a relaxed Y2TiSi2 crystal.

Structure (CIF):
```
data_Y2TiSi2
_symmetry_space_group_name_H-M 'P 1'
_symmetry_Int_Tables_number 1
_cell_length_a 7.062
_cell_length_b 7.062
_cell_length_c 4.232
_cell_angle_alpha 90.00
_cell_angle_beta 90.00
_cell_angle_gamma 90.00
loop_
_symmetry_equiv_pos_as_xyz
'x,y,z'
loop_
_atom_site_label
_atom_site_fract_x
_atom_site_fract_y
_atom_site_fract_z
Y1 0.178 0.322 0.000
Y2 0.322 0.822 0.000
Y3 0.678 0.178 0.000
Y4 0.822 0.678 0.000
Ti1 0.000 0.000 0.500
Ti2 0.500 0.500 0.500
Si1 0.123 0.623 0.500
Si2 0.377 0.123 0.500
Si3 0.623 0.877 0.500
Si4 0.877 0.377 0.500
```

Calculated values
Raw formation energy: -3.40 eV per formula unit
Spin magnetization: 3.56 μB/cell
Distance to the lowest polymorph of the same formula: 0.0 kJ per mole of atoms
V: 21.1 A^3/atom

DFT (GGA-PBE) results for a relaxed Y2TiZnSi crystal.

Structure (CIF):
```
data_Y2TiZnSi
_symmetry_space_group_name_H-M 'P 1'
_symmetry_Int_Tables_number 1
_cell_length_a 5.223
_cell_length_b 5.223
_cell_length_c 4.740
_cell_angle_alpha 90.00
_cell_angle_beta 90.00
_cell_angle_gamma 90.00
loop_
_symmetry_equiv_pos_as_xyz
'x,y,z'
loop_
_atom_site_label
_atom_site_fract_x
_atom_site_fract_y
_atom_site_fract_z
Y1 0.000 0.500 0.000
Y2 0.500 0.000 0.000
Ti1 0.000 0.000 0.500
Zn1 0.000 0.000 0.000
Si1 0.500 0.500 0.500
```

Calculated values
Raw formation energy: 1.82 eV per formula unit
Spin magnetization: 0.00 μB/cell
V: 25.9 A^3/atom

DFT (GGA-PBE) results for a relaxed TiZnSi crystal.

Structure (CIF):
```
data_TiZnSi
_symmetry_space_group_name_H-M 'P 1'
_symmetry_Int_Tables_number 1
_cell_length_a 3.859
_cell_length_b 8.944
_cell_length_c 5.180
_cell_angle_alpha 90.00
_cell_angle_beta 90.00
_cell_angle_gamma 90.00
loop_
_symmetry_equiv_pos_as_xyz
'x,y,z'
loop_
_atom_site_label
_atom_site_fract_x
_atom_site_fract_y
_atom_site_fract_z
Ti1 0.000 0.199 0.250
Ti2 0.000 0.801 0.750
Ti3 0.500 0.301 0.750
Ti4 0.500 0.699 0.250
Zn1 0.000 0.500 0.000
Zn2 0.000 0.500 0.500
Zn3 0.500 0.000 0.000
Zn4 0.500 0.000 0.500
Si1 0.000 0.111 0.750
Si2 0.000 0.889 0.250
Si3 0.500 0.389 0.250
Si4 0.500 0.611 0.750
```

Calculated values
Raw formation energy: -1.06 eV per formula unit
Spin magnetization: 0.00 μB/cell
V: 14.9 A^3/atom

DFT (GGA-PBE) results for a relaxed TiZnSi2 crystal.

Structure (CIF):
```
data_TiZnSi2
_symmetry_space_group_name_H-M 'P 1'
_symmetry_Int_Tables_number 1
_cell_length_a 6.913
_cell_length_b 6.913
_cell_length_c 5.358
_cell_angle_alpha 90.00
_cell_angle_beta 90.00
_cell_angle_gamma 90.00
loop_
_symmetry_equiv_pos_as_xyz
'x,y,z'
loop_
_atom_site_label
_atom_site_fract_x
_atom_site_fract_y
_atom_site_fract_z
Ti1 0.000 0.000 0.000
Ti2 0.000 0.500 0.250
Ti3 0.500 0.000 0.750
Ti4 0.500 0.500 0.500
Zn1 0.000 0.000 0.500
Zn2 0.000 0.500 0.750
Zn3 0.500 0.000 0.250
Zn4 0.500 0.500 0.000
Si1 0.228 0.250 0.625
Si2 0.250 0.728 0.875
Si3 0.250 0.772 0.375
Si4 0.272 0.250 0.125
Si5 0.728 0.750 0.125
Si6 0.750 0.228 0.375
Si7 0.750 0.272 0.875
Si8 0.772 0.750 0.625
```

Calculated values
Raw formation energy: 0.61 eV per formula unit
Spin magnetization: 0.00 μB/cell
V: 16.0 A^3/atom

DFT (GGA-PBE) results for a relaxed TiZnSi2 crystal.

Structure (CIF):
```
data_TiZnSi2
_symmetry_space_group_name_H-M 'P 1'
_symmetry_Int_Tables_number 1
_cell_length_a 4.227
_cell_length_b 4.227
_cell_length_c 18.397
_cell_angle_alpha 90.00
_cell_angle_beta 90.00
_cell_angle_gamma 120.00
loop_
_symmetry_equiv_pos_as_xyz
'x,y,z'
loop_
_atom_site_label
_atom_site_fract_x
_atom_site_fract_y
_atom_site_fract_z
Ti1 0.000 0.000 0.000
Ti2 0.333 0.667 0.667
Ti3 0.667 0.333 0.333
Zn1 0.000 0.000 0.500
Zn2 0.333 0.667 0.167
Zn3 0.667 0.333 0.833
Si1 0.000 0.000 0.373
Si2 0.000 0.000 0.627
Si3 0.333 0.667 0.040
Si4 0.333 0.667 0.294
Si5 0.667 0.333 0.706
Si6 0.667 0.333 0.960
```

Calculated values
Raw formation energy: 2.04 eV per formula unit
Spin magnetization: 0.00 μB/cell
V: 23.7 A^3/atom

DFT (GGA-PBE) results for a relaxed Ti12Zn5Si3 crystal.

Structure (CIF):
```
data_Ti12Zn5Si3
_symmetry_space_group_name_H-M 'P 1'
_symmetry_Int_Tables_number 1
_cell_length_a 12.810
_cell_length_b 12.810
_cell_length_c 12.810
_cell_angle_alpha 109.47
_cell_angle_beta 109.47
_cell_angle_gamma 109.47
loop_
_symmetry_equiv_pos_as_xyz
'x,y,z'
loop_
_atom_site_label
_atom_site_fract_x
_atom_site_fract_y
_atom_site_fract_z
Ti1 0.068 0.228 0.146
Ti2 0.068 0.340 0.922
Ti3 0.078 0.646 0.418
Ti4 0.078 0.932 0.660
Ti5 0.082 0.728 0.660
Ti6 0.082 0.854 0.422
Ti7 0.146 0.068 0.228
Ti8 0.146 0.578 0.918
Ti9 0.160 0.228 0.582
Ti10 0.160 0.432 0.578
Ti11 0.228 0.146 0.068
Ti12 0.228 0.582 0.160
Ti13 0.272 0.340 0.918
Ti14 0.272 0.432 0.354
Ti15 0.340 0.918 0.272
Ti16 0.340 0.922 0.068
Ti17 0.354 0.272 0.432
Ti18 0.354 0.582 0.922
Ti19 0.418 0.078 0.646
Ti20 0.418 0.840 0.772
Ti21 0.422 0.082 0.854
Ti22 0.422 0.840 0.568
Ti23 0.432 0.354 0.272
Ti24 0.432 0.578 0.160
Ti25 0.568 0.422 0.840
Ti26 0.568 0.646 0.728
Ti27 0.578 0.160 0.432
Ti28 0.578 0.918 0.146
Ti29 0.582 0.160 0.228
Ti30 0.582 0.922 0.354
Ti31 0.646 0.418 0.078
Ti32 0.646 0.728 0.568
Ti33 0.660 0.078 0.932
Ti34 0.660 0.082 0.728
Ti35 0.728 0.568 0.646
Ti36 0.728 0.660 0.082
Ti37 0.772 0.418 0.840
Ti38 0.772 0.854 0.932
Ti39 0.840 0.568 0.422
Ti40 0.840 0.772 0.418
Ti41 0.854 0.422 0.082
Ti42 0.854 0.932 0.772
Ti43 0.918 0.146 0.578
Ti44 0.918 0.272 0.340
Ti45 0.922 0.068 0.340
Ti46 0.922 0.354 0.582
Ti47 0.932 0.660 0.078
Ti48 0.932 0.772 0.854
Zn1 0.000 0.000 0.000
Zn2 0.000 0.000 0.500
Zn3 0.000 0.500 0.000
Zn4 0.000 0.500 0.500
Zn5 0.125 0.750 0.875
Zn6 0.125 0.875 0.250
Zn7 0.250 0.125 0.875
Zn8 0.250 0.625 0.375
Zn9 0.375 0.250 0.625
Zn10 0.375 0.625 0.750
Zn11 0.500 0.000 0.000
Zn12 0.500 0.000 0.500
Zn13 0.500 0.500 0.000
Zn14 0.500 0.500 0.500
Zn15 0.625 0.375 0.250
Zn16 0.625 0.750 0.375
Zn17 0.750 0.375 0.625
Zn18 0.750 0.875 0.125
Zn19 0.875 0.125 0.750
Zn20 0.875 0.250 0.125
Si1 0.125 0.250 0.375
Si2 0.125 0.375 0.750
Si3 0.250 0.375 0.125
Si4 0.250 0.875 0.625
Si5 0.375 0.125 0.250
Si6 0.375 0.750 0.125
Si7 0.625 0.250 0.875
Si8 0.625 0.875 0.750
Si9 0.750 0.125 0.375
Si10 0.750 0.625 0.875
Si11 0.875 0.625 0.250
Si12 0.875 0.750 0.625
```

Calculated values
Raw formation energy: 7.89 eV per formula unit
Spin magnetization: 8.12 μB/cell
V: 20.2 A^3/atom

DFT (GGA-PBE) results for a relaxed TiZn2Si2 crystal.

Structure (CIF):
```
data_TiZn2Si2
_symmetry_space_group_name_H-M 'P 1'
_symmetry_Int_Tables_number 1
_cell_length_a 6.625
_cell_length_b 6.625
_cell_length_c 3.597
_cell_angle_alpha 90.00
_cell_angle_beta 90.00
_cell_angle_gamma 90.00
loop_
_symmetry_equiv_pos_as_xyz
'x,y,z'
loop_
_atom_site_label
_atom_site_fract_x
_atom_site_fract_y
_atom_site_fract_z
Ti1 0.000 0.000 0.000
Ti2 0.500 0.500 0.000
Zn1 0.171 0.329 0.500
Zn2 0.329 0.829 0.500
Zn3 0.671 0.171 0.500
Zn4 0.829 0.671 0.500
Si1 0.130 0.630 0.000
Si2 0.370 0.130 0.000
Si3 0.630 0.870 0.000
Si4 0.870 0.370 0.000
```

Calculated values
Raw formation energy: 0.19 eV per formula unit
Spin magnetization: 0.00 μB/cell
Distance to the lowest polymorph of the same formula: 0.0 kJ per mole of atoms
V: 15.8 A^3/atom

DFT (GGA-PBE) results for a relaxed TiZnSi crystal.

Structure (CIF):
```
data_TiZnSi
_symmetry_space_group_name_H-M 'P 1'
_symmetry_Int_Tables_number 1
_cell_length_a 4.158
_cell_length_b 4.158
_cell_length_c 2.909
_cell_angle_alpha 90.00
_cell_angle_beta 90.00
_cell_angle_gamma 120.00
loop_
_symmetry_equiv_pos_as_xyz
'x,y,z'
loop_
_atom_site_label
_atom_site_fract_x
_atom_site_fract_y
_atom_site_fract_z
Ti1 0.000 0.000 0.000
Zn1 0.667 0.333 0.500
Si1 0.333 0.667 0.500
```

Calculated values
Raw formation energy: -0.88 eV per formula unit
Spin magnetization: 0.00 μB/cell
V: 14.5 A^3/atom

DFT (GGA-PBE) results for a relaxed TiZnSi3 crystal.

Structure (CIF):
```
data_TiZnSi3
_symmetry_space_group_name_H-M 'P 1'
_symmetry_Int_Tables_number 1
_cell_length_a 4.587
_cell_length_b 4.587
_cell_length_c 4.587
_cell_angle_alpha 90.00
_cell_angle_beta 90.00
_cell_angle_gamma 90.00
loop_
_symmetry_equiv_pos_as_xyz
'x,y,z'
loop_
_atom_site_label
_atom_site_fract_x
_atom_site_fract_y
_atom_site_fract_z
Ti1 0.000 0.000 0.000
Zn1 0.500 0.500 0.500
Si1 0.000 0.500 0.500
Si2 0.500 0.000 0.500
Si3 0.500 0.500 0.000
```

Calculated values
Raw formation energy: 5.06 eV per formula unit
Spin magnetization: 0.00 μB/cell
Distance to the lowest polymorph of the same formula: 32.8 kJ per mole of atoms
V: 19.3 A^3/atom

| no. | calculated density (Mg/m³) | N(E_F) (states/eV/f.u.) |
| --- | --- | --- |
| 1 | 4.0 | 6.4 |
| 2 | 4.0 | 4.6 |
| 3 | 4.4 | 3.6 |
| 4 | 4.1 | 3.3 |
| 5 | 5.3 | 0.9 |
| 6 | 4.4 | 1.3 |
| 7 | 3.0 | 3.1 |
| 8 | 4.0 | 24.3 |
| 9 | 4.9 | 3.3 |
| 10 | 5.4 | 2.1 |
| 11 | 3.4 | 5.8 |